Entry 1:
A relaxed structure of ScAg2Sb, computed with PBEsol.

SG: P4/mmm
DOS at the Fermi energy: 1.4 states/eV/f.u.

Structure (extended XYZ):
```
4
Lattice="-1.697 -3.215 1.840 3.509 -2.043 -0.334 1.359 1.656 4.147" Properties=species:S:1:pos:R:3 pbc="T T T"
Sc 0.679 0.828 2.074
Sb 1.585 -1.801 2.826
Ag 1.754 -1.022 -0.167
Ag -0.849 -1.607 0.920
```

Entry 2:
A relaxed structure of AgSbSe2, computed with PBEsol.

SG: R-3m

Structure (extended XYZ):
```
4
Lattice="-0.995 4.016 0.244 -3.510 1.374 -1.724 -5.385 0.421 6.317" Properties=species:S:1:pos:R:3 pbc="T T T"
Sb -4.945 2.906 2.418
Se -5.690 4.971 0.597
Se -4.200 0.841 4.239
Ag 0.000 0.000 0.000
```

Entry 3:
A relaxed structure of AgSbSe2, computed with PBEsol.

SG: Cm
DOS at the Fermi energy: 0.4 states/eV/f.u.

Structure (extended XYZ):
```
4
Lattice="-0.863 -3.637 1.129 3.920 -0.760 0.550 -0.015 3.681 5.095" Properties=species:S:1:pos:R:3 pbc="T T T"
Sb 0.292 0.755 2.655
Se 0.473 -0.046 0.212
Se 1.798 -1.333 3.831
Ag 2.008 -2.289 0.915
```

Entry 4:
A relaxed structure of AgSbSe2, computed with PBEsol.

SG: P4/mmm
DOS at the Fermi energy: 2.4 states/eV/f.u.

Structure (extended XYZ):
```
4
Lattice="-0.781 -0.240 -3.430 0.900 -4.789 0.130 -4.667 -0.848 1.122" Properties=species:S:1:pos:R:3 pbc="T T T"
Ag -0.391 -0.120 -1.715
Sb -2.274 -2.938 -1.089
Se 0.450 -2.394 0.065
Se -2.334 -0.424 0.561
```

Entry 5:
A relaxed structure of AgSbSe2, computed with PBEsol.

SG: I4_1/amd
DOS at the Fermi energy: 0.7 states/eV/f.u.

Structure (extended XYZ):
```
8
Lattice="-5.296 0.358 -1.914 -1.941 -0.521 5.273 3.779 5.756 -1.060" Properties=species:S:1:pos:R:3 pbc="T T T"
Sb 0.000 0.000 0.000
Sb -0.891 2.577 2.946
Se 0.080 2.844 0.311
Se -2.488 5.847 -0.338
Se -2.648 0.186 -0.956
Se -3.539 2.749 1.988
Ag -2.568 3.016 -0.647
Ag -3.619 -0.081 1.679
```

Entry 6:
A relaxed structure of AgSbSe2, computed with PBEsol.

SG: Pm
DOS at the Fermi energy: 0.9 states/eV/f.u.

Structure (extended XYZ):
```
4
Lattice="4.021 0.031 0.000 -0.035 4.029 0.000 0.000 0.000 5.597" Properties=species:S:1:pos:R:3 pbc="T T T"
Sb 0.545 0.468 2.798
Se 0.456 0.542 0.000
Se 2.589 2.455 2.798
Ag 2.390 2.625 0.000
```

Entry 7:
A relaxed structure of AgSbSe, computed with PBEsol.

SG: P-6m2
DOS at the Fermi energy: 1.3 states/eV/f.u.

Structure (extended XYZ):
```
3
Lattice="-1.975 2.131 0.312 -0.134 -0.866 5.072 3.350 3.390 -1.944" Properties=species:S:1:pos:R:3 pbc="T T T"
Sb 1.532 2.680 0.498
Se 0.367 1.265 2.838
Ag -0.658 0.709 0.104
```

Entry 8:
A relaxed structure of AgSb2TeSe, computed with PBEsol.

SG: P4/mmm
DOS at the Fermi energy: 5.4 states/eV/f.u.

Structure (extended XYZ):
```
5
Lattice="5.192 0.000 0.000 0.000 5.285 0.000 0.000 0.000 5.285" Properties=species:S:1:pos:R:3 pbc="T T T"
Sb 0.000 0.000 2.642
Sb 0.000 2.642 0.000
Te 2.596 0.000 0.000
Se 2.596 2.642 2.642
Ag 0.000 0.000 0.000
```

Entry 9:
A relaxed structure of AgSbTeSe, computed with PBEsol.

SG: P4/mmm
DOS at the Fermi energy: 1.5 states/eV/f.u.

Structure (extended XYZ):
```
4
Lattice="4.052 0.000 0.000 0.000 4.052 0.000 0.000 0.000 6.062" Properties=species:S:1:pos:R:3 pbc="T T T"
Sb 2.026 2.026 3.031
Te 2.026 2.026 0.000
Se 0.000 0.000 3.031
Ag 0.000 0.000 0.000
```

Entry 10:
A relaxed structure of Si3AgSb, computed with PBEsol.

SG: Pm-3m
DOS at the Fermi energy: 2.8 states/eV/f.u.

Structure (extended XYZ):
```
5
Lattice="-2.896 3.039 -2.299 -3.112 -3.553 -0.776 -2.199 1.026 4.126" Properties=species:S:1:pos:R:3 pbc="T T T"
Sb -4.104 0.256 0.526
Si -1.556 -1.777 -0.388
Si -1.100 0.513 2.063
Si -1.448 1.520 -1.150
Ag 0.000 0.000 0.000
```

Entry 11:
A relaxed structure of AgSnSb3, computed with PBEsol.

SG: Pm-3m
DOS at the Fermi energy: 4.5 states/eV/f.u.

Structure (extended XYZ):
```
5
Lattice="5.543 0.000 0.000 0.000 5.543 0.000 0.000 0.000 5.543" Properties=species:S:1:pos:R:3 pbc="T T T"
Sb 0.000 2.772 0.000
Sb 0.000 0.000 2.772
Sb 2.772 0.000 0.000
Sn 0.000 0.000 0.000
Ag 2.772 2.772 2.772
```

Entry 12:
A relaxed structure of SrAg4Sb2, computed with PBEsol.

SG: R-3m
DOS at the Fermi energy: 1.2 states/eV/f.u.

Structure (extended XYZ):
```
7
Lattice="-0.698 -0.855 -4.544 -2.786 -3.517 -1.316 -7.655 3.674 -1.921" Properties=species:S:1:pos:R:3 pbc="T T T"
Sb -2.678 -0.259 -1.946
Sb -8.461 -0.439 -5.835
Ag -4.873 1.476 -1.935
Ag -6.266 -2.174 -5.846
Ag -6.802 0.625 -3.884
Ag -4.336 -1.323 -3.896
Sr 0.000 0.000 0.000
```

Entry 13:
A relaxed structure of Sr2AgSb, computed with PBEsol.

SG: P4/mmm
DOS at the Fermi energy: 2.1 states/eV/f.u.

Structure (extended XYZ):
```
4
Lattice="3.919 0.000 0.000 0.000 3.919 0.000 0.000 0.000 7.838" Properties=species:S:1:pos:R:3 pbc="T T T"
Ag 1.959 1.959 0.000
Sb 1.959 1.959 3.919
Sr 0.000 0.000 5.886
Sr 0.000 0.000 1.952
```

Entry 14:
A relaxed structure of SrAg2Sb2, computed with PBEsol.

SG: I4/mmm
DOS at the Fermi energy: 2.2 states/eV/f.u.

Structure (extended XYZ):
```
5
Lattice="-1.681 -3.086 -2.879 -1.666 -2.362 3.504 -3.598 5.922 -0.663" Properties=species:S:1:pos:R:3 pbc="T T T"
Sb -4.016 2.437 -0.267
Sb -2.929 -1.962 0.229
Ag -3.469 0.418 1.577
Ag -3.476 0.056 -1.615
Sr 0.000 0.000 0.000
```

Entry 15:
A relaxed structure of Sr2AgSb, computed with PBEsol.

SG: Amm2
DOS at the Fermi energy: 0.9 states/eV/f.u.

Structure (extended XYZ):
```
4
Lattice="-0.962 -1.513 4.137 -2.810 -3.267 -1.848 5.098 -3.037 -2.382" Properties=species:S:1:pos:R:3 pbc="T T T"
Sb -0.039 -3.907 1.019
Ag -0.008 -1.145 2.036
Sr 2.587 -6.065 0.841
Sr 2.440 -2.005 -0.166
```

Entry 16:
A relaxed structure of Sr2AgSb, computed with PBEsol.

SG: P4/mmm
DOS at the Fermi energy: 1.3 states/eV/f.u.

Structure (extended XYZ):
```
4
Lattice="-3.253 2.417 0.603 -3.004 -3.280 -3.061 -1.324 -2.872 4.376" Properties=species:S:1:pos:R:3 pbc="T T T"
Sb -1.627 1.208 0.301
Ag -3.790 -1.868 0.958
Sr -0.662 -1.436 2.188
Sr -1.502 -1.640 -1.531
```

Entry 17:
A relaxed structure of TaAgSb2, computed with PBEsol.

SG: C2/m
DOS at the Fermi energy: 2.6 states/eV/f.u.

Structure (extended XYZ):
```
4
Lattice="3.064 0.000 0.000 -1.532 4.823 0.014 0.000 -0.618 5.592" Properties=species:S:1:pos:R:3 pbc="T T T"
Sb 1.532 1.795 4.121
Sb 0.000 2.410 1.485
Ag 1.532 0.000 0.000
Ta 0.000 -0.309 2.796
```

Entry 18:
A relaxed structure of TaAgSb2, computed with PBEsol.

SG: Pm
DOS at the Fermi energy: 2.7 states/eV/f.u.

Structure (extended XYZ):
```
4
Lattice="3.689 0.000 -0.068 0.000 4.187 0.000 -1.820 0.000 5.435" Properties=species:S:1:pos:R:3 pbc="T T T"
Sb -1.588 0.000 4.859
Sb 2.086 2.094 1.702
Ag 0.237 2.094 4.403
Ta 0.248 0.000 2.522
```

Entry 19:
A relaxed structure of TaAgSb2, computed with PBEsol.

SG: I-42d
DOS at the Fermi energy: 1.2 states/eV/f.u.

Structure (extended XYZ):
```
8
Lattice="6.307 0.000 0.000 0.000 6.307 0.000 -3.153 -3.153 6.061" Properties=species:S:1:pos:R:3 pbc="T T T"
Sb 4.785 1.577 1.515
Sb 1.522 4.730 1.515
Sb 1.577 1.631 4.546
Sb -1.577 -1.631 4.546
Ag 3.153 0.000 3.031
Ag 3.153 3.153 0.000
Ta 0.000 3.153 3.031
Ta 0.000 0.000 0.000
```

Entry 20:
A relaxed structure of TaAgSb2, computed with PBEsol.

SG: I-4m2
DOS at the Fermi energy: 2.0 states/eV/f.u.

Structure (extended XYZ):
```
4
Lattice="-2.303 -0.379 3.337 1.405 -3.784 0.540 4.129 3.838 0.800" Properties=species:S:1:pos:R:3 pbc="T T T"
Sb 0.000 0.000 0.000
Sb 0.688 0.689 3.038
Ag 2.542 -1.014 1.640
Ta -0.449 -2.081 1.939
```

Results for energy relative to the elements, uncorrected: -0.407 -0.039 -0.084 0.122 -0.169 -0.135 0.172 0.733 -0.090 0.912 1.028 -0.316 -0.581 -0.410 -0.678 -0.638 0.289 0.107 0.618 0.330 (in eV per atom, following the order of the records).
Results for size of the total moment: 0.00 0.00 0.00 0.00 0.00 0.00 0.00 0.00 0.00 0.00 0.00 0.00 0.00 0.00 0.00 0.00 0.00 0.00 0.00 0.00 (in μB/f.u., following the order of the records).